Material: La2FeI
Method: DFT, PBE-GGA
State: optimized geometry

abc: 6.9153 6.9153 6.9153
angles: 112.62 112.62 103.35
Fractional positions:
La 0.0282 0.6250 0.9032
La 0.3750 0.2782 0.4032
La 0.7218 0.1250 0.0968
La 0.8750 0.9718 0.5968
Fe 0.0000 0.0000 0.0000
Fe 0.7500 0.2500 0.5000
I 0.2500 0.7500 0.5000
I 0.5000 0.5000 0.0000

Output
E_form (uncorrected) = -0.237 eV/atom


Material: TbPr7Dy3
Method: DFT, PBE-GGA
State: optimized geometry

abc: 8.6379 8.6379 8.6379
angles: 139.61 97.05 96.64
Fractional positions:
Tb 0.0000 0.0000 0.0000
Pr 0.0000 0.5000 0.5000
Pr 0.0974 0.2902 0.8072
Pr 0.2909 0.0000 0.2909
Pr 0.4830 0.2902 0.1928
Pr 0.5170 0.7098 0.8072
Pr 0.7091 0.0000 0.7091
Pr 0.9026 0.7098 0.1928
Dy 0.2957 0.7957 0.5000
Dy 0.5000 0.5000 0.0000
Dy 0.7043 0.2043 0.5000

Output
calculated formation energy = 219 meV/atom


Material: LiScPt2I
Method: DFT, PBE-GGA
State: optimized geometry

abc: 4.7613 4.7613 8.6711
angles: 90.00 90.00 90.00
Fractional positions:
Li 0.0000 0.0000 0.0000
Sc 0.0000 0.0000 0.5000
Pt 0.0000 0.5000 0.5000
Pt 0.5000 0.0000 0.5000
I 0.5000 0.5000 0.0000

Output
E_form (uncorrected) = 0.256 eV/atom


Material: YSc2HgO
Method: DFT, PBE-GGA
State: optimized geometry

abc: 4.4851 4.4851 4.7072
angles: 90.00 90.00 90.00
Fractional positions:
Y 0.0000 0.0000 0.0000
Sc 0.0000 0.5000 0.5000
Sc 0.5000 0.0000 0.5000
Hg 0.5000 0.5000 0.0000
O 0.0000 0.0000 0.5000

Output
E_form (uncorrected) = -1.438 eV/atom


Values for V, A^3/atom, ordered as above
31.6, 35.6, 39.3, 18.9